Version one
{"formula": "AlCoHg2", "functional": "GGA-PBEsol", "state": "relaxed", "total_magnetization_mub_per_cell": 0.22, "cell": [[0.000, 3.179, 3.179], [3.179, 0.000, 3.179], [3.179, 3.179, 0.000]], "species": ["Al", "Co", "Hg", "Hg"], "fractional_positions": [[0.000, 0.000, 0.000], [0.500, 0.500, 0.500], [0.250, 0.250, 0.250], [0.750, 0.750, 0.750]]}

---

Version two
{"formula": "AlCoHg2", "functional": "GGA-PBEsol", "state": "relaxed", "total_magnetization_mub_per_cell": 0.76, "cell": [[1.501, 0.867, 8.785], [-1.501, 0.867, 8.785], [0.000, -1.734, 8.785]], "species": ["Al", "Co", "Hg", "Hg"], "fractional_positions": [[0.000, 0.000, 0.000], [0.729, 0.729, 0.729], [0.243, 0.243, 0.243], [0.474, 0.474, 0.474]]}

---

Most stable = version two

---

Version one
{"formula": "AlCoI2N", "functional": "GGA-PBEsol", "state": "relaxed", "total_magnetization_mub_per_cell": 0.00, "cell": [[5.375, 0.000, 0.000], [0.000, 5.375, 0.000], [0.000, 0.000, 3.482]], "species": ["Al", "Co", "I", "I", "N"], "fractional_positions": [[0.000, 0.000, 0.000], [0.500, 0.500, 0.500], [0.000, 0.500, 0.500], [0.500, 0.000, 0.500], [0.500, 0.500, 0.000]]}

---

Version two
{"formula": "AlCoI2N", "functional": "GGA-PBEsol", "state": "relaxed", "total_magnetization_mub_per_cell": 2.43, "cell": [[5.542, 0.000, 0.000], [0.000, 5.542, 0.000], [0.000, 0.000, 3.502]], "species": ["Al", "Co", "I", "I", "N"], "fractional_positions": [[0.000, 0.000, 0.000], [0.500, 0.500, 0.500], [0.000, 0.500, 0.000], [0.500, 0.000, 0.000], [0.000, 0.000, 0.500]]}

---

Most stable = version one

---

Version one
{"formula": "Mg14AlCoO16", "functional": "GGA-PBEsol", "state": "relaxed", "total_magnetization_mub_per_cell": 2.05, "cell": [[8.435, 0.000, 0.000], [0.000, 8.435, 0.000], [0.000, 0.000, 4.198]], "species": ["Mg", "Mg", "Mg", "Mg", "Mg", "Mg", "Mg", "Mg", "Mg", "Mg", "Mg", "Mg", "Mg", "Mg", "Al", "Co", "O", "O", "O", "O", "O", "O", "O", "O", "O", "O", "O", "O", "O", "O", "O", "O"], "fractional_positions": [[0.000, 0.244, 0.000], [0.000, 0.500, 0.500], [0.000, 0.756, 0.000], [0.244, 0.000, 0.000], [0.244, 0.244, 0.500], [0.244, 0.756, 0.500], [0.248, 0.500, 0.000], [0.500, 0.000, 0.500], [0.500, 0.248, 0.000], [0.500, 0.752, 0.000], [0.752, 0.500, 0.000], [0.756, 0.000, 0.000], [0.756, 0.244, 0.500], [0.756, 0.756, 0.500], [0.500, 0.500, 0.500], [0.000, 0.000, 0.500], [0.000, 0.000, 0.000], [0.000, 0.265, 0.500], [0.000, 0.500, 0.000], [0.000, 0.735, 0.500], [0.251, 0.251, 0.000], [0.251, 0.749, 0.000], [0.265, 0.000, 0.500], [0.271, 0.500, 0.500], [0.500, 0.000, 0.000], [0.500, 0.271, 0.500], [0.500, 0.500, 0.000], [0.500, 0.729, 0.500], [0.729, 0.500, 0.500], [0.735, 0.000, 0.500], [0.749, 0.251, 0.000], [0.749, 0.749, 0.000]]}

---

Version two
{"formula": "Mg14AlCoO16", "functional": "GGA-PBEsol", "state": "relaxed", "total_magnetization_mub_per_cell": 2.01, "cell": [[4.197, 0.000, 0.000], [0.000, 8.412, 0.000], [0.000, 0.000, 8.448]], "species": ["Mg", "Mg", "Mg", "Mg", "Mg", "Mg", "Mg", "Mg", "Mg", "Mg", "Mg", "Mg", "Mg", "Mg", "Al", "Co", "O", "O", "O", "O", "O", "O", "O", "O", "O", "O", "O", "O", "O", "O", "O", "O"], "fractional_positions": [[0.000, 0.000, 0.000], [0.000, 0.000, 0.500], [0.000, 0.253, 0.245], [0.000, 0.253, 0.755], [0.000, 0.747, 0.245], [0.000, 0.747, 0.755], [0.500, 0.000, 0.248], [0.500, 0.000, 0.752], [0.500, 0.250, 0.500], [0.500, 0.254, 0.000], [0.500, 0.500, 0.243], [0.500, 0.500, 0.757], [0.500, 0.746, 0.000], [0.500, 0.750, 0.500], [0.000, 0.500, 0.500], [0.000, 0.500, 0.000], [0.000, 0.000, 0.255], [0.000, 0.000, 0.745], [0.000, 0.241, 0.000], [0.000, 0.265, 0.500], [0.000, 0.500, 0.280], [0.000, 0.500, 0.720], [0.000, 0.735, 0.500], [0.000, 0.759, 0.000], [0.500, 0.000, 0.000], [0.500, 0.000, 0.500], [0.500, 0.251, 0.251], [0.500, 0.251, 0.749], [0.500, 0.500, 0.000], [0.500, 0.500, 0.500], [0.500, 0.749, 0.251], [0.500, 0.749, 0.749]]}

---

Most stable = version two

---

Version one
{"formula": "Al2CoMo", "functional": "GGA-PBEsol", "state": "relaxed", "total_magnetization_mub_per_cell": 0.00, "cell": [[2.731, 0.000, 0.000], [0.000, 4.061, 0.000], [-1.361, 0.000, 4.881]], "species": ["Al", "Al", "Co", "Mo"], "fractional_positions": [[0.000, 0.000, 0.000], [0.380, 0.500, 0.762], [0.123, 0.500, 0.251], [0.735, 0.000, 0.473]]}

---

Version two
{"formula": "Al2CoMo", "functional": "GGA-PBEsol", "state": "relaxed", "total_magnetization_mub_per_cell": 0.62, "cell": [[1.378, 0.796, 8.303], [-1.378, 0.796, 8.303], [0.000, -1.592, 8.303]], "species": ["Al", "Al", "Co", "Mo"], "fractional_positions": [[0.242, 0.242, 0.242], [0.758, 0.758, 0.758], [0.500, 0.500, 0.500], [0.000, 0.000, 0.000]]}

---

Most stable = version one